The following is a DFT calculation (PBE) of a geometry-optimized TaNiHg structure.

Cell: 4.392 4.392 4.392 Å, 60.00 60.00 60.00°
Fractional coordinates of all 3 atoms:
Hg 0.000 0.000 0.000
Ni 0.500 0.500 0.500
Ta 0.750 0.750 0.750

Computed properties:
The calculation puts the volume at 19.97 A^3/atom. The density of states at the Fermi level is 3.4 states/eV/f.u. The value obtained for the formation energy is 0.81 eV per atom.